Entry 1:
## La8PrTl2 (GGA-PBE)

Data for a geometry-optimized La8PrTl2 structure.

Unit cell a=6.326 b=10.257 c=10.257 alpha=39.71 beta=65.97 gamma=65.97
Atoms (fractional coordinates):
La  0.237  0.558  0.091
La  0.763  0.442  0.909
La  0.237  0.091  0.558
Tl  0.248  0.677  0.677
Tl  0.752  0.323  0.323
La  0.763  0.909  0.442
La  0.266  0.497  0.497
La  0.734  0.503  0.503
La  0.320  0.127  0.127
Pr  0.000  0.000  0.000
La  0.680  0.873  0.873

Output
excess energy over the best structure of this formula in the dataset	0.4	kJ/mol of atoms
raw total energy	-4.54	eV per atom
energy of formation from the pure elements	-0.10	eV/atom
space-group type	No. 12

Entry 2:
## RbGaO2 (GGA-PBE)

Data for a geometry-optimized RbGaO2 structure.

Unit cell a=7.407 b=5.771 c=3.280 alpha=106.49 beta=89.98 gamma=85.68
Atoms (fractional coordinates):
Rb  0.497  0.973  0.407
O  0.092  0.055  0.448
Rb  0.194  0.502  0.172
Ga  0.725  0.474  0.657
O  0.489  0.568  0.704
Ga  0.964  0.011  0.926
O  0.892  0.703  0.773
O  0.778  0.271  0.056

Output
raw total energy	-5.15	eV per atom
space-group type	No. 8